Compound: Y2MoPt
Source: the Alexandria database
Functional: PBE-GGA
Structure: optimized geometry

The structure in POSCAR format:
```
Y2MoPt
1.0
3.530 0.000 0.000
0.000 3.530 0.000
0.000 0.000 6.978
Y Mo Pt
2 1 1
direct
0.000 0.000 0.243 Y
0.000 0.000 0.757 Y
0.500 0.500 0.500 Mo
0.500 0.500 0.000 Pt
```

## Properties
The value obtained for the density of states at the Fermi level is 0.980 states/eV per atom. The calculation puts the total energy at -7.7657 eV per atom. For the volume, the calculation gives 86.9 Å³/f.u. As for the formation enthalpy at 0 K: -0.3157 eV per atom. The value obtained for the relative energy among the computed polymorphs is 0 meV/atom. The crystal system is tetragonal. Its space-group type is P4/mmm.